No. 1
DFT (GGA-PBE) results for crystalline PtWAu2 at its relaxed geometry.

Properties
crystal system	orthorhombic
SG	No. 47
energy of formation from the pure elements	0.263	eV/atom

Cell and atoms, written as CIF:
```
data_PtWAu2
_chemical_formula_sum 'Pt1 W1 Au2'
_cell_length_a 2.825
_cell_length_b 4.080
_cell_length_c 5.785
_cell_angle_alpha 90.00
_cell_angle_beta 90.00
_cell_angle_gamma 90.00
_space_group_name_H-M_alt 'P 1'
_space_group_IT_number 1
loop_
_space_group_symop_operation_xyz
'x,y,z'
loop_
_atom_site_label
_atom_site_fract_x
_atom_site_fract_y
_atom_site_fract_z
Pt1 0.000 0.000 0.000
W1 0.000 0.000 0.500
Au1 0.500 0.500 0.255
Au2 0.500 0.500 0.745
```

***

No. 2
DFT (GGA-PBE) results for crystalline HgB at its relaxed geometry.

Properties
crystal system	tetragonal
SG	No. 136
energy of formation from the pure elements	0.866	eV/atom

Cell and atoms, written as CIF:
```
data_HgB
_chemical_formula_sum 'Hg4 B4'
_cell_length_a 6.619
_cell_length_b 6.619
_cell_length_c 3.359
_cell_angle_alpha 90.00
_cell_angle_beta 90.00
_cell_angle_gamma 90.00
_space_group_name_H-M_alt 'P 1'
_space_group_IT_number 1
loop_
_space_group_symop_operation_xyz
'x,y,z'
loop_
_atom_site_label
_atom_site_fract_x
_atom_site_fract_y
_atom_site_fract_z
Hg1 0.248 0.248 0.000
Hg2 0.252 0.748 0.500
Hg3 0.748 0.252 0.500
Hg4 0.752 0.752 0.000
B1 0.087 0.087 0.500
B2 0.413 0.587 0.000
B3 0.587 0.413 0.000
B4 0.913 0.913 0.500
```

***

No. 3
DFT (GGA-PBE) results for crystalline CsHoTc2O8 at its relaxed geometry.

Properties
crystal system	trigonal
SG	No. 147
E_form (uncorrected)	-1.951	eV/atom

Cell and atoms, written as CIF:
```
data_CsHoTc2O8
_chemical_formula_sum 'Cs1 Ho1 Tc2 O8'
_cell_length_a 6.018
_cell_length_b 6.018
_cell_length_c 8.435
_cell_angle_alpha 90.00
_cell_angle_beta 90.00
_cell_angle_gamma 120.00
_space_group_name_H-M_alt 'P 1'
_space_group_IT_number 1
loop_
_space_group_symop_operation_xyz
'x,y,z'
loop_
_atom_site_label
_atom_site_fract_x
_atom_site_fract_y
_atom_site_fract_z
Cs1 0.000 0.000 0.000
Ho1 0.000 0.000 0.500
Tc1 0.333 0.667 0.732
Tc2 0.667 0.333 0.268
O1 0.169 0.342 0.660
O2 0.173 0.831 0.660
O3 0.333 0.667 0.939
O4 0.342 0.173 0.340
O5 0.658 0.827 0.660
O6 0.667 0.333 0.061
O7 0.827 0.169 0.340
O8 0.831 0.658 0.340
```

***

Computed DOS at the Fermi energy (states/eV/cell) in order:
2.8; 3.5; 6.9